This record from Alexandria via LeMat-Bulk describes an optimized crystal structure of LiCaNd2S4. The functional is PBE-GGA.

a b c (Å): 6.925 6.925 14.061
angles (deg): 90.00 90.00 146.65
Element x y z (fractional)
Li: 0.151 0.849 0.750
Li: 0.849 0.151 0.250
Ca: 0.117 0.883 0.250
Ca: 0.883 0.117 0.750
Nd: 0.369 0.631 0.059
Nd: 0.369 0.631 0.441
Nd: 0.631 0.369 0.559
Nd: 0.631 0.369 0.941
S: 0.000 0.000 0.000
S: 0.000 0.000 0.500
S: 0.276 0.724 0.626
S: 0.276 0.724 0.874
S: 0.454 0.546 0.250
S: 0.546 0.454 0.750
S: 0.724 0.276 0.126
S: 0.724 0.276 0.374

Summary:
DFT total energy (eV per cell): -89.95
Calculated density (Mg/m³): 4.15
Raw formation energy (kJ/mol of atoms): -181
N(E_F) (states/eV/cell): 4.5
Space-group type: Cmcm, No. 63